Record 1
Compound: Ga6CoNi3
Source: Alexandria
Functional: GGA-PBE
Structure: optimized geometry

Cell: 6.4623 6.1278 9.4087 Å, 90.00 128.16 90.00°
Closest atoms and distances in Å follow each position.
Space group P2_1/c (No. 14)
Symmetry-distinct sites (fractional):
Ga (0.0353, 0.0327, 0.2640) [4 per cell]  1 Co 2.36, 3 Ni 2.40-2.46
Ga (0.2323, 0.6649, 0.0771) [4 per cell]  1 Co 2.38, 3 Ni 2.47-2.60
Ga (0.3965, 0.1380, 0.0584) [4 per cell]  1 Co 2.42, 4 Ni 2.47-2.58
Co (0.0000, 0.0000, 0.0000) [2 per cell]  6 Ga 2.36-2.42
Ni (0.2932, 0.1833, 0.7509) [4 per cell]  7 Ga 2.43-2.60, 1 Ni 2.68, 1 Co 2.72
Ni (0.5000, 0.0000, 0.5000) [2 per cell]  6 Ga 2.40-2.47, 2 Ni 2.68

Properties
- uncorrected energy (eV per atom) = -4.417



Record 2
Compound: FeNi2Sb8
Source: Alexandria
Functional: GGA-PBE
Structure: optimized geometry

Cell: 5.3701 6.9854 7.5333 Å, 108.53 90.18 91.20°
Closest atoms and distances in Å follow each position.
Space group P-1 (No. 2)
Symmetry-distinct sites (fractional):
Fe (0.0000, 0.0000, 0.0000) [1 per cell]  6 Sb 2.50-2.52
Ni (0.2396, 0.6308, 0.3783) [2 per cell]  5 Sb 2.48-2.62
Sb (0.2447, 0.4029, 0.5938) [2 per cell]  3 Ni 2.61-2.80
Sb (0.2641, 0.8636, 0.7140) [2 per cell]  1 Fe 2.52, 1 Ni 2.54
Sb (0.2858, 0.3056, 0.1096) [2 per cell]  1 Fe 2.52, 1 Ni 2.53
Sb (0.2908, 0.8424, 0.1708) [2 per cell]  1 Ni 2.48, 1 Fe 2.50

Properties
- uncorrected formation energy (eV/f.u.) = 0.56



Record 3
Compound: SrAl12Ag4
Source: Alexandria
Functional: GGA-PBE
Structure: optimized geometry

Cell: 9.0325 9.0325 9.0325 Å, 90.00 90.00 90.00°
Closest atoms and distances in Å follow each position.
Space group Im-3 (No. 204)
Symmetry-distinct sites (fractional):
Sr (0.0000, 0.0000, 0.0000) [2 per cell]  12 Al 3.48
Al (0.0000, 0.3537, 0.1528) [24 per cell]  2 Ag 2.60, 2 Al 2.64-2.76
Ag (0.2500, 0.2500, 0.2500) [8 per cell]  6 Al 2.60

Properties
- uncorrected energy (eV per atom) = -3.217